First-principles (GGA+U) data for a relaxed LiMoO2 crystal, as listed in Alexandria via LeMat-Bulk.

V ... 11.0 A^3/atom
ΔE to the lowest computed polymorph ... 0.003 eV/atom
Total magnetic moment ... 3.0 μB/cell
Symmetry ... No. 166

```
4
Lattice="1.606 0.927 4.937 -1.606 0.927 4.937 0.000 -1.854 4.937" Properties=species:S:1:pos:R:3 pbc="T T T"
Li 0.000 0.000 0.000
Mo 0.000 0.000 7.405
O 0.000 0.000 3.627
O 0.000 0.000 11.184
```